Record 1
DFT (PBE-GGA) results for crystalline K2Cu2O3 at its relaxed geometry.

Unit cell a=2.9765 b=6.4942 c=6.1787 alpha=87.29 beta=90.29 gamma=103.32
Last column: magnetic moment on the atom in μB.
Sites, in units of the cell vectors:
K  0.8351  0.6730  0.7040  0.00
O  0.0000  0.0000  0.0000  0.01
K  0.1649  0.3270  0.2960  0.00
O  0.8395  0.6746  0.2788  0.09
Cu  0.5846  0.1717  0.8421  0.14
Cu  0.4154  0.8283  0.1579  0.14
O  0.1605  0.3254  0.7212  0.09

Results
SG: P-1
Total moment, μB per formula unit: 0.5
DFT total energy, eV for the cell shown: -31.32



Record 2
DFT (PBE-GGA) results for crystalline Na2SrTc at its relaxed geometry.

Unit cell a=4.4998 b=4.4998 c=12.6133 alpha=79.72 beta=79.72 gamma=90.00
Last column: magnetic moment on the atom in μB.
Sites, in units of the cell vectors:
Na  0.6554  0.1250  0.2500  -0.01
Na  0.3750  0.3446  0.7500  -0.01
Tc  0.7500  0.2500  0.5000  2.56
Na  0.8750  0.9054  0.7500  -0.01
Tc  0.0000  0.0000  0.0000  2.56
Sr  0.2500  0.7500  0.5000  -0.03
Na  0.0946  0.6250  0.2500  -0.01
Sr  0.5000  0.5000  0.0000  -0.03

Results
SG: I-42d
Energy of formation from the pure elements, eV per atom: 0.93
Total moment, μB per formula unit: 2.8



Record 3
DFT (PBE-GGA) results for crystalline Tb6C2Se3N at its relaxed geometry.

Unit cell a=6.5063 b=6.5063 c=6.9345 alpha=99.00 beta=99.00 gamma=119.98
Sites, in units of the cell vectors:
Tb  0.9323  0.5994  0.7970
Tb  0.2654  0.2654  0.7963
Tb  0.5994  0.9323  0.7970
C  0.6667  0.3333  0.0000
Se  0.1671  0.8329  0.5000
C  0.3333  0.6667  0.0000
Tb  0.4006  0.0677  0.2030
N  0.0000  0.0000  0.0000
Se  0.8329  0.1671  0.5000
Tb  0.7346  0.7346  0.2037
Tb  0.0677  0.4006  0.2030
Se  0.5000  0.5000  0.5000

Results
SG: C2/m
Total moment, μB per formula unit: 0.0
DFT total energy, eV for the cell shown: -81.27



Record 4
DFT (PBE-GGA) results for crystalline InAu3Cl at its relaxed geometry.

Unit cell a=5.0469 b=5.0469 c=5.0469 alpha=90.00 beta=90.00 gamma=90.00
Sites, in units of the cell vectors:
Au  0.0000  0.0000  0.5000
Au  0.5000  0.0000  0.0000
In  0.5000  0.5000  0.5000
Cl  0.0000  0.0000  0.0000
Au  0.0000  0.5000  0.0000

Results
SG: Pm-3m
Total moment, μB per formula unit: 0.0
DFT total energy, eV for the cell shown: -11.05



Record 5
DFT (PBE-GGA) results for crystalline VSi2Ag2 at its relaxed geometry.

Unit cell a=6.4679 b=6.4679 c=3.9806 alpha=90.00 beta=90.00 gamma=90.00
Last column: magnetic moment on the atom in μB.
Sites, in units of the cell vectors:
Si  0.3706  0.8706  0.0000  -0.03
V  0.0000  0.0000  0.0000  1.68
Ag  0.8126  0.3126  0.5000  0.01
V  0.5000  0.5000  0.0000  1.68
Ag  0.3126  0.1874  0.5000  0.01
Si  0.6294  0.1294  0.0000  -0.03
Si  0.8706  0.6294  0.0000  -0.03
Ag  0.1874  0.6874  0.5000  0.01
Si  0.1294  0.3706  0.0000  -0.03
Ag  0.6874  0.8126  0.5000  0.01

Results
SG: P4/mbm
Total moment, μB per formula unit: 1.9
DFT total energy, eV for the cell shown: -48.41



Record 6
DFT (PBE-GGA) results for crystalline La2SeBr at its relaxed geometry.

Unit cell a=7.4451 b=7.4451 c=7.4451 alpha=146.75 beta=146.75 gamma=47.73
Sites, in units of the cell vectors:
La  0.0000  0.0000  0.0000
Se  0.5000  0.5000  0.0000
Br  0.7500  0.2500  0.5000
La  0.2500  0.7500  0.5000

Results
SG: I-4m2
Total moment, μB per formula unit: 0.0
DFT total energy, eV for the cell shown: -20.19



- Which of these has the highest total moment?
  Na2SrTc